## Cr3HgRu (GGA-PBEsol)

Data for an optimized crystal structure of Cr3HgRu.

Summary:
ΔH_f (0 K) (eV/f.u.): 11.85
Volume (A^3/atom): 22.84

CIF file:
```
data_Cr3HgRu
_chemical_formula_sum 'Cr3 Hg1 Ru1'
_space_group_name_H-M_alt 'P m -3 m'
_space_group_IT_number 221
_space_group_name_Hall '-P 4 2 3'
_cell_length_a 4.852
_cell_length_b 4.852
_cell_length_c 4.852
_cell_angle_alpha 90.00
_cell_angle_beta 90.00
_cell_angle_gamma 90.00
loop_
_atom_site_label
_atom_site_fract_x
_atom_site_fract_y
_atom_site_fract_z
Cr1 0.000 0.000 0.500
Hg1 0.000 0.000 0.000
Ru1 0.500 0.500 0.500
```